Entry from the Alexandria database: V4H3 after structural relaxation (PBE-GGA).

Values from the calculation:
- V (Å³/atom) = 8.5
- spin magnetization (μB/cell) = 0.00
- total DFT energy (no corrections) (eV per atom) = -6.81

The structure in POSCAR format:
```
V4H3
1.0
2.934 -3.487 0.000
2.934 3.487 0.000
0.000 0.000 2.920
V H
4 3
Cartesian
2.934 1.871 0.000
1.481 0.000 1.460
4.387 0.000 1.460
2.934 -1.871 0.000
1.467 1.744 1.460
1.467 -1.744 1.460
2.934 0.000 0.000
```

=====

Entry from the Alexandria database: TaTi3Si after structural relaxation (PBE-GGA).

Values from the calculation:
- V (Å³/atom) = 19.1
- spin magnetization (μB/cell) = 0.00
- total DFT energy (no corrections) (eV per atom) = -7.72

The structure in POSCAR format:
```
TaTi3Si
1.0
4.573 0.000 0.000
0.000 4.573 0.000
0.000 0.000 4.573
Ta Ti Si
1 3 1
Cartesian
0.000 0.000 0.000
0.000 2.286 2.286
2.286 0.000 2.286
2.286 2.286 0.000
2.286 2.286 2.286
```

=====

Entry from the Alexandria database: Na2CaCdAu after structural relaxation (PBE-GGA).

Values from the calculation:
- V (Å³/atom) = 35.7
- spin magnetization (μB/cell) = 0.00
- total DFT energy (no corrections) (eV per atom) = -1.55
- energy of formation (eV/f.u.) = 1.1

The structure in POSCAR format:
```
Na2CaCdAu
1.0
5.434 0.000 0.000
0.000 5.434 0.000
0.000 0.000 6.047
Na Ca Cd Au
2 1 1 1
Cartesian
0.000 2.717 0.000
2.717 0.000 0.000
0.000 0.000 3.024
0.000 0.000 0.000
2.717 2.717 3.024
```

=====

Entry from the Alexandria database: LaTbEr2Au4 after structural relaxation (PBE-GGA).

Values from the calculation:
- V (Å³/atom) = 24.2
- spin magnetization (μB/cell) = 0.00
- total DFT energy (no corrections) (eV per atom) = -4.81
- energy of formation (eV/f.u.) = -6.7

The structure in POSCAR format:
```
LaTbEr2Au4
1.0
2.550 1.472 8.590
-2.550 1.472 8.590
0.000 -2.944 8.590
La Tb Er Au
1 1 2 4
Cartesian
0.000 0.000 0.000
0.000 0.000 12.885
0.000 0.000 6.386
0.000 0.000 19.383
0.000 0.000 3.300
0.000 0.000 9.872
0.000 0.000 15.898
0.000 0.000 22.470
```

=====

Entry from the Alexandria database: HfTcRuW after structural relaxation (PBE-GGA).

Values from the calculation:
- V (Å³/atom) = 16.1
- spin magnetization (μB/cell) = 0.00
- total DFT energy (no corrections) (eV per atom) = -10.91
- energy of formation (eV/f.u.) = -1.1

The structure in POSCAR format:
```
HfTcRuW
1.0
0.000 3.183 3.183
3.183 0.000 3.183
3.183 3.183 0.000
Hf Tc Ru W
1 1 1 1
Cartesian
0.000 0.000 0.000
4.775 4.775 4.775
1.592 1.592 1.592
3.183 3.183 3.183
```

=====

Entry from the Alexandria database: Sb3RuBr after structural relaxation (PBE-GGA).

Values from the calculation:
- V (Å³/atom) = 27.9
- spin magnetization (μB/cell) = 0.00
- total DFT energy (no corrections) (eV per atom) = -4.35

The structure in POSCAR format:
```
Sb3RuBr
1.0
5.184 0.000 0.000
0.000 5.184 0.000
0.000 0.000 5.184
Sb Ru Br
3 1 1
Cartesian
0.000 0.000 2.592
0.000 2.592 0.000
2.592 0.000 0.000
0.000 0.000 0.000
2.592 2.592 2.592
```